Compound: NbMoPt3
Source: Alexandria
Functional: PBE-GGA
Structure: optimized geometry

The space group is Pm-3m (No. 221) and the conventional cell measures 4.7800, 4.7800 and 4.7800 Å, with angles of 90.00, 90.00 and 90.00 degrees. The asymmetric unit holds Nb at (0.0000, 0.0000, 0.0000), Mo at (0.5000, 0.5000, 0.5000) and Pt at (0.0000, 0.5000, 0.5000).

The formation enthalpy at 0 K comes out at 1.16 eV/atom. As for the energy relative to the lowest polymorph listed for this composition: 1083 meV/atom.

Compound: KMnTc
Source: Alexandria
Functional: PBE-GGA
Structure: optimized geometry

The space group is P2_1/m (No. 11) and the conventional cell measures 2.8829, 4.1052 and 12.2925 Å, with angles of 90.00, 91.87 and 90.00 degrees. The asymmetric unit holds K at (0.2051, 0.2500, 0.1733), Mn at (0.0692, 0.7500, 0.5766) and Tc at (0.4647, 0.2500, 0.5907).

The formation enthalpy at 0 K comes out at 0.59 eV/atom. As for the energy relative to the lowest polymorph listed for this composition: 29 meV/atom.

Compound: SrSiGe3
Source: Alexandria
Functional: PBE-GGA
Structure: optimized geometry

The space group is Pm-3m (No. 221) and the conventional cell measures 4.9452, 4.9452 and 4.9452 Å, with angles of 90.00, 90.00 and 90.00 degrees. The asymmetric unit holds Sr at (0.0000, 0.0000, 0.0000), Si at (0.5000, 0.5000, 0.5000) and Ge at (0.0000, 0.5000, 0.5000).

For the formation energy from raw total energies, the calculation gives 0.1321 eV/atom. As for the energy relative to the lowest polymorph listed for this composition: 0 meV/atom.

Compound: LaPbSe2
Source: Alexandria
Functional: PBE-GGA
Structure: optimized geometry

The space group is Amm2 (No. 38) and the conventional cell measures 4.7254, 4.0063 and 11.7577 Å, with angles of 90.00, 90.00 and 90.00 degrees. The asymmetric unit holds La at (0.0000, 0.0000, 0.0000), Pb at (0.5000, 0.0000, 0.2263), Se at (0.0000, 0.0000, 0.7215) and Se at (0.5000, 0.0000, 0.4725).

For the formation energy from raw total energies, the calculation gives -1.2015 eV/atom.

Compound: KZnFe2
Source: Alexandria
Functional: PBE-GGA
Structure: optimized geometry

The space group is P4mm (No. 99) and the conventional cell measures 3.0820, 3.0820 and 8.1036 Å, with angles of 90.00, 90.00 and 90.00 degrees. The asymmetric unit holds K at (0.0000, 0.0000, 0.0000), Zn at (0.5000, 0.5000, 0.3383), Fe at (0.0000, 0.0000, 0.5248) and Fe at (0.5000, 0.5000, 0.6572).

The formation enthalpy at 0 K comes out at 0.48 eV/atom.

Compound: PmGa4Rh
Source: Alexandria
Functional: PBE-GGA
Structure: optimized geometry

The space group is Pmma (No. 51) and the conventional cell measures 7.6768, 4.1406 and 7.0263 Å, with angles of 90.00, 90.00 and 90.00 degrees. The asymmetric unit holds Pm at (0.2500, 0.0000, 0.1323), Ga at (0.0000, 0.0000, 0.5000), Ga at (0.0624, 0.5000, 0.8201), Ga at (0.2500, 0.5000, 0.4543) and Rh at (0.2500, 0.0000, 0.7040).

The formation enthalpy at 0 K comes out at -0.61 eV/atom. As for the energy relative to the lowest polymorph listed for this composition: 43 meV/atom.

Compound: CeDy2Ti
Source: Alexandria
Functional: PBE-GGA
Structure: optimized geometry

The space group is R-3m (No. 166, hexagonal axes) and the conventional cell measures 3.3028, 3.3028 and 34.8388 Å, with angles of 90.00, 90.00 and 120.00 degrees. The asymmetric unit holds Ce at (0.0000, 0.0000, 0.0000), Dy at (0.0000, 0.0000, 0.4157) and Ti at (0.0000, 0.0000, 0.5000).

The formation enthalpy at 0 K comes out at 0.42 eV/atom.

Compound: AcDy6Tm8
Source: Alexandria
Functional: PBE-GGA
Structure: optimized geometry

The space group is P-3 (No. 147) and the conventional cell measures 9.5376, 9.5376 and 6.2851 Å, with angles of 90.00, 90.00 and 120.00 degrees. The asymmetric unit holds Ac at (0.0000, 0.0000, 0.0000), Dy at (0.1193, 0.4337, 0.9218), Tm at (0.0225, 0.6830, 0.5797) and Tm at (0.3333, 0.6667, 0.3670).

The formation enthalpy at 0 K comes out at 0.22 eV/atom.

Compound: Pm2RuC
Source: Alexandria
Functional: PBE-GGA
Structure: optimized geometry

The space group is Immm (No. 71) and the conventional cell measures 3.6599, 3.9292 and 13.3203 Å, with angles of 90.00, 90.00 and 90.00 degrees. The asymmetric unit holds Pm at (0.0000, 0.0000, 0.1287), Ru at (0.0000, 0.0000, 0.5000) and C at (0.0000, 0.5000, 0.5000).

The formation enthalpy at 0 K comes out at -0.16 eV/atom.

Compound: Na8Te2O
Source: Alexandria
Functional: PBE-GGA
Structure: optimized geometry

The space group is C2/m (No. 12) and the conventional cell measures 19.2473, 5.0836 and 6.4795 Å, with angles of 90.00, 109.67 and 90.00 degrees. The asymmetric unit holds Na at (0.9998, 0.0000, 0.2255), Na at (0.0966, 0.5000, 0.3335), Na at (0.0970, 0.5000, 0.8617), Na at (0.2260, 0.0000, 0.2263), Te at (0.1615, 0.0000, 0.6614) and O at (0.0000, 0.5000, 0.0000).

For the formation energy from raw total energies, the calculation gives -0.6654 eV/atom.

Compound: Na2Tl15Sn2
Source: Alexandria
Functional: PBE-GGA
Structure: optimized geometry

The space group is R-3m (No. 166, hexagonal axes) and the conventional cell measures 10.7379, 10.7379 and 18.4221 Å, with angles of 90.00, 90.00 and 120.00 degrees. The asymmetric unit holds Na at (0.0000, 0.0000, 0.1013), Tl at (0.0000, 0.2987, 0.0000), Tl at (0.0000, 0.5000, 0.5000), Tl at (0.0250, 0.5125, 0.1265) and Sn at (0.0000, 0.0000, 0.2950).

The formation enthalpy at 0 K comes out at 0.08 eV/atom.

Compound: TmTlIrO6
Source: Alexandria
Functional: PBE-GGA
Structure: optimized geometry

The space group is P-31c (No. 163) and the conventional cell measures 5.5190, 5.5190 and 9.2817 Å, with angles of 90.00, 90.00 and 120.00 degrees. The asymmetric unit holds Tm at (0.3333, 0.6667, 0.2500), Tl at (0.0000, 0.0000, 0.0000), Ir at (0.3333, 0.6667, 0.7500) and O at (0.0350, 0.3802, 0.6319).

For the formation energy from raw total energies, the calculation gives -1.3884 eV/atom.

Compound: ScReAs2
Source: Alexandria
Functional: PBE-GGA
Structure: optimized geometry

The space group is Imm2 (No. 44) and the conventional cell measures 3.2346, 3.5724 and 12.2716 Å, with angles of 90.00, 90.00 and 90.00 degrees. The asymmetric unit holds Sc at (0.0000, 0.0000, 0.0000), Re at (0.0000, 0.5000, 0.7478), As at (0.0000, 0.0000, 0.4045) and As at (0.0000, 0.5000, 0.1649).

The formation enthalpy at 0 K comes out at -0.46 eV/atom. As for the energy relative to the lowest polymorph listed for this composition: 0 meV/atom.

Compound: DyU2Cr2C4
Source: Alexandria
Functional: PBE-GGA
Structure: optimized geometry

The space group is C2/m (No. 12) and the conventional cell measures 13.0487, 3.2172 and 5.9187 Å, with angles of 90.00, 107.68 and 90.00 degrees. The asymmetric unit holds Dy at (0.0000, 0.0000, 0.0000), U at (0.1287, 0.0000, 0.5358), Cr at (0.1846, 0.5000, 0.0085), C at (0.0494, 0.5000, 0.7374) and C at (0.2288, 0.0000, 0.2292).

The formation enthalpy at 0 K comes out at -0.02 eV/atom.

Compound: K2PbCl2F2
Source: Alexandria
Functional: PBE-GGA
Structure: optimized geometry

The space group is I4/mmm (No. 139) and the conventional cell measures 4.8034, 4.8034 and 16.8321 Å, with angles of 90.00, 90.00 and 90.00 degrees. The asymmetric unit holds K at (0.0000, 0.0000, 0.1405), Pb at (0.0000, 0.0000, 0.5000), Cl at (0.0000, 0.0000, 0.3270) and F at (0.0000, 0.5000, 0.0000).

For the formation energy from raw total energies, the calculation gives -2.0945 eV/atom.

Compound: CeSnHg3
Source: Alexandria
Functional: PBE-GGA
Structure: optimized geometry

The space group is Pmma (No. 51) and the conventional cell measures 10.0821, 3.2175 and 9.3279 Å, with angles of 90.00, 90.00 and 90.00 degrees. The asymmetric unit holds Ce at (0.2500, 0.0000, 0.1489), Sn at (0.2500, 0.5000, 0.8185), Hg at (0.0000, 0.5000, 0.0000) and Hg at (0.0311, 0.5000, 0.3487).

The formation enthalpy at 0 K comes out at -0.07 eV/atom.

Compound: SrCdCoS2
Source: Alexandria
Functional: PBE-GGA
Structure: optimized geometry

The space group is P4/mmm (No. 123) and the conventional cell measures 4.6014, 4.6014 and 5.4125 Å, with angles of 90.00, 90.00 and 90.00 degrees. The asymmetric unit holds Sr at (0.0000, 0.0000, 0.0000), Cd at (0.5000, 0.5000, 0.0000), Co at (0.0000, 0.0000, 0.5000) and S at (0.0000, 0.5000, 0.5000).

For the formation energy from raw total energies, the calculation gives -0.1476 eV/atom.

Compound: HoErPa
Source: Alexandria
Functional: PBE-GGA
Structure: optimized geometry

The space group is Cmcm (No. 63) and the conventional cell measures 3.3653, 18.0619 and 5.6365 Å, with angles of 90.00, 90.00 and 90.00 degrees. The asymmetric unit holds Ho at (0.0000, 0.0503, 0.2500), Er at (0.0000, 0.2770, 0.7500) and Pa at (0.0000, 0.3863, 0.2500).

The formation enthalpy at 0 K comes out at 0.25 eV/atom. As for the energy relative to the lowest polymorph listed for this composition: 138 meV/atom.

Compound: CuPdI4
Source: Alexandria
Functional: PBE-GGA
Structure: optimized geometry

The space group is P2_1/c (No. 14) and the conventional cell measures 7.0064, 4.5426 and 14.2810 Å, with angles of 90.00, 111.39 and 90.00 degrees. The asymmetric unit holds Cu at (0.0000, 0.0000, 0.0000), Pd at (0.5000, 0.0000, 0.5000), I at (0.2127, 0.1434, 0.8822) and I at (0.2769, 0.6255, 0.1099).

For the formation energy from raw total energies, the calculation gives -0.0987 eV/atom. As for the energy relative to the lowest polymorph listed for this composition: 0 meV/atom.

Compound: Pr6Nd4Sc
Source: Alexandria
Functional: PBE-GGA
Structure: optimized geometry

The space group is P4/mnc (No. 128) and the conventional cell measures 8.8518, 8.8518 and 9.7209 Å, with angles of 90.00, 90.00 and 90.00 degrees. The asymmetric unit holds Pr at (0.0000, 0.0000, 0.1705), Pr at (0.1478, 0.3413, 0.5000), Nd at (0.1472, 0.6472, 0.2500) and Sc at (0.0000, 0.0000, 0.5000).

The formation enthalpy at 0 K comes out at 0.10 eV/atom.